No. 1
First-principles (meta-GGA SCAN) data for a crystal of KAuSe2 relaxed with PBEsol, as listed in Alexandria.

a = 3.7609 Å, b = 4.8094 Å, c = 6.4474 Å
α = 90.95°, β = 90.00°, γ = 90.00°
Last column: nearest neighbours and their distance in Å.
Fractional coordinates of all 4 atoms:
K1 0.5000 0.5000 0.5000  8 Se 3.44-3.45, 2 K 3.76
Au1 0.5000 0.0000 0.0000  4 Se 2.49
Se1 0.0000 0.9942 0.2524  2 Au 2.49
Se2 0.0000 0.0058 0.7476  2 Au 2.49

Calculated values
Space group = No. 10
Size of the total moment = 0.0 Bohr magnetons per cell
E_form (uncorrected) = -0.67 eV/atom


No. 2
First-principles (meta-GGA SCAN) data for a crystal of CsCr2Mo relaxed with PBEsol, as listed in Alexandria.

a = 4.8157 Å, b = 4.8157 Å, c = 4.8157 Å
α = 60.00°, β = 60.00°, γ = 60.00°
Last column: nearest neighbours and their distance in Å.
Fractional coordinates of all 4 atoms:
Cs1 0.5000 0.5000 0.5000  8 Cr 2.95
Cr1 0.2500 0.2500 0.2500  4 Mo 2.95, 4 Cs 2.95
Cr2 0.7500 0.7500 0.7500  4 Mo 2.95, 4 Cs 2.95
Mo1 0.0000 0.0000 0.0000  8 Cr 2.95

Calculated values
E_form = 1.634 eV/atom
Space group = No. 225
Size of the total moment = 5.4 Bohr magnetons per cell


No. 3
First-principles (meta-GGA SCAN) data for a crystal of Zn2AgCl relaxed with PBEsol, as listed in Alexandria.

a = 3.2580 Å, b = 3.0956 Å, c = 8.0202 Å
α = 90.00°, β = 90.00°, γ = 121.75°
Last column: nearest neighbours and their distance in Å.
Fractional coordinates of all 4 atoms:
Zn1 0.0000 0.0000 0.7528  2 Cl 2.57, 2 Ag 2.60
Zn2 0.0000 0.0000 0.2472  2 Cl 2.57, 2 Ag 2.60
Ag1 0.5000 0.0000 0.5000  4 Zn 2.60
Cl1 0.5000 0.0000 0.0000  4 Zn 2.57

Calculated values
Space group = No. 65
Energy above the most stable polymorph in this dataset = 7.76 kJ/mol of atoms
Size of the total moment = 0.0 Bohr magnetons per cell
E_form (uncorrected) = -0.08 eV/atom


No. 4
First-principles (meta-GGA SCAN) data for a crystal of CaY2AsOs relaxed with PBEsol, as listed in Alexandria.

a = 4.6996 Å, b = 5.4342 Å, c = 5.4342 Å
α = 90.00°, β = 90.00°, γ = 90.00°
Last column: nearest neighbours and their distance in Å.
Fractional coordinates of all 5 atoms:
Y1 0.0000 0.0000 0.5000  2 Os 2.72
Y2 0.0000 0.5000 0.0000  2 Os 2.72
As1 0.5000 0.0000 0.0000  2 Os 2.35
Os1 0.0000 0.0000 0.0000  2 As 2.35
Ca1 0.5000 0.5000 0.5000  8 Y 3.59, 4 As 3.84

Calculated values
E_form = -0.150 eV/atom
Space group = No. 123
Size of the total moment = 0.0 Bohr magnetons per cell


No. 5
First-principles (meta-GGA SCAN) data for a crystal of LaNb2ReAs relaxed with PBEsol, as listed in Alexandria.

a = 4.7958 Å, b = 4.7958 Å, c = 5.1091 Å
α = 90.00°, β = 90.00°, γ = 90.00°
Last column: nearest neighbours and their distance in Å.
Fractional coordinates of all 5 atoms:
Re1 0.5000 0.5000 0.5000  4 As 3.39, 8 Nb 3.50
Nb1 0.0000 0.5000 0.0000  2 La 2.40
Nb2 0.5000 0.0000 0.0000  2 La 2.40
As1 0.0000 0.0000 0.5000  2 La 2.55
La1 0.0000 0.0000 0.0000  4 Nb 2.40, 2 As 2.55

Calculated values
E_form = 2.572 eV/atom
Space group = No. 123
Size of the total moment = 1.7 Bohr magnetons per cell


No. 6
First-principles (meta-GGA SCAN) data for a crystal of PrBe13 relaxed with PBEsol, as listed in Alexandria.

a = 7.2702 Å, b = 7.2702 Å, c = 7.2702 Å
α = 60.00°, β = 60.00°, γ = 60.00°
Last column: nearest neighbours and their distance in Å.
Fractional coordinates of all 28 atoms:
Pr1 0.7500 0.7500 0.7500  24 Be 3.03
Pr2 0.2500 0.2500 0.2500  24 Be 3.03
Be1 0.0000 0.0000 0.0000  12 Be 2.15
Be2 0.5000 0.5000 0.5000  12 Be 2.15
Be3 0.9371 0.7115 0.0629  10 Be 2.15-2.32
Be4 0.0629 0.2885 0.9371  10 Be 2.15-2.32
Be5 0.7115 0.9371 0.2885  10 Be 2.15-2.32
Be6 0.2885 0.0629 0.7115  10 Be 2.15-2.32
Be7 0.5629 0.2115 0.4371  10 Be 2.15-2.32
Be8 0.4371 0.7885 0.5629  10 Be 2.15-2.32
Be9 0.2115 0.5629 0.7885  10 Be 2.15-2.32
Be10 0.7885 0.4371 0.2115  10 Be 2.15-2.32
Be11 0.9371 0.0629 0.2885  10 Be 2.15-2.32
Be12 0.0629 0.9371 0.7115  10 Be 2.15-2.32
Be13 0.7115 0.2885 0.0629  10 Be 2.15-2.32
Be14 0.2885 0.7115 0.9371  10 Be 2.15-2.32
Be15 0.5629 0.4371 0.7885  10 Be 2.15-2.32
Be16 0.4371 0.5629 0.2115  10 Be 2.15-2.32
Be17 0.2115 0.7885 0.4371  10 Be 2.15-2.32
Be18 0.7885 0.2115 0.5629  10 Be 2.15-2.32
Be19 0.9371 0.2885 0.7115  10 Be 2.15-2.32
Be20 0.0629 0.7115 0.2885  10 Be 2.15-2.32
Be21 0.7115 0.0629 0.9371  10 Be 2.15-2.32
Be22 0.2885 0.9371 0.0629  10 Be 2.15-2.32
Be23 0.5629 0.7885 0.2115  10 Be 2.15-2.32
Be24 0.4371 0.2115 0.7885  10 Be 2.15-2.32
Be25 0.2115 0.4371 0.5629  10 Be 2.15-2.32
Be26 0.7885 0.5629 0.4371  10 Be 2.15-2.32

Calculated values
E_form = -0.148 eV/atom
Space group = No. 226
Size of the total moment = 0.6 Bohr magnetons per cell


No. 7
First-principles (meta-GGA SCAN) data for a crystal of HfGeBr3 relaxed with PBEsol, as listed in Alexandria.

a = 5.1829 Å, b = 5.1829 Å, c = 5.1829 Å
α = 90.00°, β = 90.00°, γ = 90.00°
Last column: nearest neighbours and their distance in Å.
Fractional coordinates of all 5 atoms:
Ge1 0.5000 0.5000 0.5000  12 Br 3.66
Hf1 0.0000 0.0000 0.0000  6 Br 2.59
Br1 0.0000 0.5000 0.0000  2 Hf 2.59
Br2 0.0000 0.0000 0.5000  2 Hf 2.59
Br3 0.5000 0.0000 0.0000  2 Hf 2.59

Calculated values
Space group = No. 221
Size of the total moment = 2.1 Bohr magnetons per cell
E_form (uncorrected) = -0.17 eV/atom


No. 8
First-principles (meta-GGA SCAN) data for a crystal of LiP2Ir relaxed with PBEsol, as listed in Alexandria.

a = 4.1384 Å, b = 4.1384 Å, c = 4.1384 Å
α = 60.00°, β = 60.00°, γ = 60.00°
Last column: nearest neighbours and their distance in Å.
Fractional coordinates of all 4 atoms:
P1 0.0000 0.0000 0.0000  4 Li 2.53, 4 P 2.53
P2 0.7500 0.7500 0.7500  4 P 2.53, 4 Ir 2.53
Ir1 0.5000 0.5000 0.5000  4 Li 2.53, 4 P 2.53
Li1 0.2500 0.2500 0.2500  4 Ir 2.53, 4 P 2.53

Calculated values
E_form = 0.138 eV/atom
Space group = No. 216
Energy above the most stable polymorph in this dataset = 25.77 kJ/mol of atoms
Size of the total moment = 0.0 Bohr magnetons per cell


No. 9
First-principles (meta-GGA SCAN) data for a crystal of Zr6Ga2Ni relaxed with PBEsol, as listed in Alexandria.

a = 3.3440 Å, b = 7.7385 Å, c = 7.7385 Å
α = 120.00°, β = 90.00°, γ = 90.00°
Last column: nearest neighbours and their distance in Å.
Fractional coordinates of all 9 atoms:
Ni1 0.5000 0.0000 0.0000  6 Zr 2.58
Ga1 0.0000 0.3333 0.6667  9 Zr 2.89-2.93
Ga2 0.0000 0.6667 0.3333  9 Zr 2.89-2.93
Zr1 0.0000 0.2547 0.2547  2 Ni 2.58
Zr2 0.0000 0.7453 0.0000  2 Ni 2.58
Zr3 0.0000 0.0000 0.7453  2 Ni 2.58
Zr4 0.5000 0.0000 0.4045  4 Ga 2.89, 6 Zr 3.12-3.21, 1 Ni 3.13
Zr5 0.5000 0.4045 0.0000  4 Ga 2.89, 6 Zr 3.12-3.21, 1 Ni 3.13
Zr6 0.5000 0.5955 0.5955  4 Ga 2.89, 6 Zr 3.12-3.21, 1 Ni 3.13

Calculated values
E_form = -0.481 eV/atom
Space group = No. 189
Size of the total moment = 0.0 Bohr magnetons per cell


No. 10
First-principles (meta-GGA SCAN) data for a crystal of LiRe4 relaxed with PBEsol, as listed in Alexandria.

a = 3.9428 Å, b = 4.6680 Å, c = 4.6680 Å
α = 79.73°, β = 65.02°, γ = 65.02°
Last column: nearest neighbours and their distance in Å.
Fractional coordinates of all 5 atoms:
Li1 0.0000 0.0000 0.0000  12 Re 2.69-2.76
Re1 0.5882 0.2058 0.6177  9 Re 2.60-2.81, 3 Li 2.69-2.76
Re2 0.7940 0.6177 0.7942  9 Re 2.60-2.81, 3 Li 2.69-2.76
Re3 0.4118 0.7942 0.3823  9 Re 2.60-2.81, 3 Li 2.69-2.76
Re4 0.2060 0.3823 0.2058  9 Re 2.60-2.81, 3 Li 2.69-2.76

Calculated values
E_form = 0.200 eV/atom
Space group = No. 87
Energy above the most stable polymorph in this dataset = 0.00 kJ/mol of atoms
Size of the total moment = 0.0 Bohr magnetons per cell